{"formula": "LiOs2O8", "functional": "PBE", "state": "optimized geometry", "lattice_angstrom": [[-5.8055, 2.4058, 5.6172], [-3.3427, -5.4959, 5.2229], [2.2685, 2.9051, 7.4242]], "species": ["Li", "Li", "Os", "Os", "Os", "Os", "O", "O", "O", "O", "O", "O", "O", "O", "O", "O", "O", "O", "O", "O", "O", "O"], "frac_coords": [[0.0601, 0.7500, 0.2500], [0.9399, 0.2500, 0.7500], [0.8334, 0.8532, 0.9503], [0.3632, 0.3532, 0.4503], [0.6368, 0.6468, 0.5497], [0.1666, 0.1468, 0.0497], [0.3810, 0.8030, 0.6985], [0.1361, 0.9554, 0.1748], [0.5820, 0.9291, 0.1353], [0.2097, 0.2393, 0.5418], [0.4180, 0.0709, 0.8647], [0.9907, 0.2607, 0.9582], [0.7903, 0.7607, 0.4582], [0.3535, 0.4291, 0.6353], [0.0093, 0.7393, 0.0418], [0.8824, 0.6970, 0.8015], [0.7337, 0.4554, 0.6748], [0.2663, 0.5446, 0.3252], [0.1176, 0.3030, 0.1985], [0.6465, 0.5709, 0.3647], [0.6190, 0.1970, 0.3015], [0.8639, 0.0446, 0.8252]], "space_group": "C2/c, No. 15", "e_form_raw_ev_per_atom": -1.11, "total_magnetization_mub_per_atom": 0.10, "total_energy_ev_per_cell": -152.50, "polymorph_energy_ev_per_atom": 0.015}

=====

{"formula": "MnTeRh2", "functional": "PBE", "state": "optimized geometry", "lattice_angstrom": [[4.4919, 0.0000, 0.0000], [2.2459, 3.8901, 0.0000], [2.2459, 1.2967, 3.6676]], "species": ["Mn", "Rh", "Rh", "Te"], "frac_coords": [[0.5000, 0.5000, 0.5000], [0.0000, 0.0000, 0.0000], [0.2500, 0.2500, 0.2500], [0.7500, 0.7500, 0.7500]], "space_group": "F-43m, No. 216", "e_form_raw_ev_per_atom": 0.10, "total_magnetization_mub_per_atom": 0.86, "total_energy_ev_per_cell": -26.61}

=====

{"formula": "AlTeW", "functional": "PBE", "state": "optimized geometry", "lattice_angstrom": [[-4.0833, -1.2046, -1.4769], [-3.1777, -1.2577, 2.9371], [-3.5492, 2.6704, 0.7604]], "species": ["Te", "Al", "W"], "frac_coords": [[0.7500, 0.7500, 0.7500], [0.5000, 0.5000, 0.5000], [0.0000, 0.0000, 0.0000]], "space_group": "F-43m, No. 216", "e_form_raw_ev_per_atom": 1.15, "total_magnetization_mub_per_atom": 0.00, "total_energy_ev_per_cell": -16.38, "polymorph_energy_ev_per_atom": 0.836}

=====

{"formula": "Er2Ag3Sn3", "functional": "PBE", "state": "optimized geometry", "lattice_angstrom": [[4.6508, 0.0000, 0.0000], [0.0000, 4.5261, 0.0000], [0.0000, 0.0000, 8.6170]], "species": ["Er", "Er", "Ag", "Ag", "Ag", "Sn", "Sn", "Sn"], "frac_coords": [[0.0000, 0.0000, 0.7494], [0.0000, 0.0000, 0.2506], [0.5000, 0.5000, 0.7631], [0.5000, 0.5000, 0.2369], [0.5000, 0.0000, 0.0000], [0.5000, 0.0000, 0.5000], [0.0000, 0.5000, 0.0000], [0.0000, 0.5000, 0.5000]], "space_group": "Pmmm, No. 47", "ef_kj_per_mol_atoms": -36, "total_magnetization_mub_per_atom": 0.00, "total_energy_ev_per_cell": -32.68}

=====

{"formula": "CdSiAu2", "functional": "PBE", "state": "optimized geometry", "lattice_angstrom": [[-2.6111, -1.2590, -1.4181], [-0.5592, -3.1463, 0.4494], [-5.5663, 0.1671, 6.2849]], "species": ["Au", "Au", "Cd", "Si"], "frac_coords": [[0.0101, 0.0101, 0.9690], [0.4899, 0.4899, 0.5310], [0.2500, 0.2500, 0.2500], [0.7500, 0.7500, 0.7500]], "space_group": "C2/m, No. 12", "e_form_raw_ev_per_atom": 0.01, "total_magnetization_mub_per_atom": 0.00, "total_energy_ev_per_cell": -12.84, "polymorph_energy_ev_per_atom": 0.011}

=====

{"formula": "Mn2Nb2Pb", "functional": "PBE", "state": "optimized geometry", "lattice_angstrom": [[-2.4189, 6.6079, 1.3238], [-3.8851, -2.5165, 5.4627], [2.5439, 0.5207, 2.0491]], "species": ["Pb", "Pb", "Nb", "Nb", "Nb", "Nb", "Mn", "Mn", "Mn", "Mn"], "frac_coords": [[0.0000, 0.0000, 0.0000], [0.5000, 0.5000, 0.0000], [0.1777, 0.6777, 0.5000], [0.6777, 0.8223, 0.5000], [0.8223, 0.3223, 0.5000], [0.3223, 0.1777, 0.5000], [0.3831, 0.8831, 0.0000], [0.8831, 0.6169, 0.0000], [0.6169, 0.1169, 0.0000], [0.1169, 0.3831, 0.0000]], "space_group": "P4/mbm, No. 127", "ef_kj_per_mol_atoms": 26, "total_magnetization_mub_per_atom": 0.70, "total_energy_ev_per_cell": -81.67}

=====

{"formula": "BaNi2Te", "functional": "PBE", "state": "optimized geometry", "lattice_angstrom": [[-2.7889, 1.4604, 1.6712], [-1.8910, -0.1588, -3.0170], [-2.2583, -6.3123, 1.7477]], "species": ["Ba", "Ni", "Ni", "Te"], "frac_coords": [[0.5000, 0.5000, 0.7500], [0.0000, 0.0000, 0.0760], [0.0000, 0.0000, 0.4240], [0.5000, 0.5000, 0.2500]], "space_group": "P4/mmm, No. 123", "e_form_raw_ev_per_atom": 0.14, "total_magnetization_mub_per_atom": 0.00, "total_energy_ev_per_cell": -16.07}

=====

{"formula": "Pm11Er4Sc9", "functional": "PBE", "state": "optimized geometry", "lattice_angstrom": [[-3.4015, -0.7709, 0.2805], [2.9477, -13.8522, -2.3264], [1.4507, -1.2252, 14.2260]], "species": ["Pm", "Pm", "Pm", "Pm", "Pm", "Pm", "Pm", "Pm", "Pm", "Pm", "Pm", "Er", "Er", "Er", "Er", "Sc", "Sc", "Sc", "Sc", "Sc", "Sc", "Sc", "Sc", "Sc"], "frac_coords": [[0.0000, 0.5881, 0.9248], [0.0000, 0.4119, 0.0752], [0.0000, 0.9248, 0.5881], [0.0000, 0.0752, 0.4119], [0.0000, 0.6543, 0.3457], [0.0000, 0.3457, 0.6543], [0.0000, 0.8267, 0.1733], [0.0000, 0.1733, 0.8267], [0.0000, 0.0000, 0.0000], [0.0000, 0.7696, 0.7696], [0.0000, 0.2304, 0.2304], [0.5000, 0.5564, 0.7203], [0.5000, 0.4436, 0.2797], [0.5000, 0.7203, 0.5564], [0.5000, 0.2797, 0.4436], [0.5000, 0.6201, 0.1331], [0.5000, 0.3799, 0.8669], [0.5000, 0.1331, 0.6201], [0.5000, 0.8669, 0.3799], [0.5000, 0.7939, 0.9725], [0.5000, 0.2061, 0.0275], [0.5000, 0.9725, 0.7939], [0.5000, 0.0275, 0.2061], [0.5000, 0.5000, 0.5000]], "space_group": "Cmmm, No. 65", "ef_kj_per_mol_atoms": 8, "total_magnetization_mub_per_atom": 0.00, "total_energy_ev_per_cell": -125.43}